i:
Below is a geometry-optimized TbCo3P2 structure, with properties calculated at the PBE level.

Computed properties:
calculated volume = 13.21 Å³ per atom
total moment = 0.79 μB per formula unit

Cell and atoms, written as POSCAR:
```
TbCo3P2
1.0
3.702 0.000 0.000
0.000 10.533 0.000
0.000 0.000 12.193
Tb Co P
6 18 12
direct
0.250 0.067 0.206
0.250 0.250 0.478
0.250 0.433 0.206
0.750 0.567 0.794
0.750 0.750 0.522
0.750 0.933 0.794
0.250 0.130 0.710
0.250 0.250 0.014
0.250 0.370 0.710
0.250 0.547 0.430
0.250 0.583 0.995
0.250 0.750 0.158
0.250 0.750 0.704
0.250 0.917 0.995
0.250 0.953 0.430
0.750 0.047 0.570
0.750 0.083 0.005
0.750 0.250 0.296
0.750 0.250 0.842
0.750 0.417 0.005
0.750 0.453 0.570
0.750 0.630 0.290
0.750 0.750 0.986
0.750 0.870 0.290
0.250 0.098 0.894
0.250 0.402 0.894
0.250 0.560 0.616
0.250 0.750 0.343
0.250 0.750 0.883
0.250 0.940 0.616
0.750 0.060 0.384
0.750 0.250 0.117
0.750 0.250 0.657
0.750 0.440 0.384
0.750 0.598 0.106
0.750 0.902 0.106
```

ii:
Below is a geometry-optimized TbCo3P2 structure, with properties calculated at the PBE level.

Computed properties:
calculated volume = 13.18 Å³ per atom
total moment = 0.00 μB per formula unit

Cell and atoms, written as POSCAR:
```
TbCo3P2
1.0
7.447 -1.830 0.000
7.447 1.830 0.000
-2.664 0.000 8.705
Tb Co P
3 9 6
direct
0.000 0.000 0.000
0.155 0.155 0.699
0.845 0.845 0.301
0.047 0.047 0.337
0.218 0.218 0.395
0.322 0.322 0.033
0.373 0.373 0.788
0.500 0.500 0.500
0.627 0.627 0.212
0.678 0.678 0.967
0.782 0.782 0.605
0.953 0.953 0.663
0.198 0.198 0.131
0.360 0.360 0.546
0.467 0.467 0.224
0.533 0.533 0.776
0.640 0.640 0.454
0.802 0.802 0.869
```

Pick i: it beats the second-best structure by 1.9 kJ/mol of atoms.

i:
Below is a geometry-optimized CoTcP2 structure, with properties calculated at the PBE level.

Computed properties:
calculated volume = 16.76 Å³ per atom
total moment = 0.00 μB per formula unit

Cell and atoms, written as POSCAR:
```
CoTcP2
1.0
-2.580 2.580 5.034
2.580 -2.580 5.034
2.580 2.580 -5.034
Co Tc P
2 2 4
direct
0.000 0.000 0.000
0.750 0.250 0.500
0.250 0.750 0.500
0.500 0.500 0.000
0.103 0.625 0.978
0.375 0.353 0.478
0.647 0.125 0.022
0.875 0.897 0.522
```

ii:
Below is a geometry-optimized CoTcP2 structure, with properties calculated at the PBE level.

Computed properties:
calculated volume = 12.47 Å³ per atom
total moment = 0.00 μB per formula unit

Cell and atoms, written as POSCAR:
```
CoTcP2
1.0
3.607 -1.491 0.000
3.607 1.491 0.000
-0.886 0.000 4.640
Co Tc P
1 1 2
direct
0.000 0.000 0.000
0.500 0.500 0.500
0.248 0.248 0.766
0.752 0.752 0.234
```

iii:
Below is a geometry-optimized CoTcP2 structure, with properties calculated at the PBE level.

Computed properties:
calculated volume = 12.91 Å³ per atom
total moment = 0.00 μB per formula unit

Cell and atoms, written as POSCAR:
```
CoTcP2
1.0
2.953 0.000 0.000
0.000 3.527 0.000
0.000 0.000 4.958
Co Tc P
1 1 2
direct
0.000 0.000 0.000
0.500 0.000 0.500
0.000 0.500 0.265
0.000 0.500 0.735
```

iv:
Below is a geometry-optimized CoTcP2 structure, with properties calculated at the PBE level.

Computed properties:
calculated volume = 14.58 Å³ per atom
total moment = 0.76 μB per formula unit

Cell and atoms, written as POSCAR:
```
CoTcP2
1.0
2.821 0.000 0.000
0.000 2.821 0.000
0.000 0.000 7.330
Co Tc P
1 1 2
direct
0.000 0.000 0.000
0.500 0.500 0.752
0.000 0.000 0.557
0.500 0.500 0.159
```

Pick ii: it beats the second-best structure by 5.5 kJ/mol of atoms.

i:
Below is a geometry-optimized CoTcP2 structure, with properties calculated at the PBE level.

Computed properties:
calculated volume = 12.83 Å³ per atom
total moment = 0.52 μB per formula unit

Cell and atoms, written as POSCAR:
```
CoTcP2
1.0
0.000 2.950 2.950
2.950 0.000 2.950
2.950 2.950 0.000
Co Tc P
1 1 2
direct
0.000 0.000 0.000
0.250 0.250 0.250
0.500 0.500 0.500
0.750 0.750 0.750
```

ii:
Below is a geometry-optimized CoTcP2 structure, with properties calculated at the PBE level.

Computed properties:
calculated volume = 12.30 Å³ per atom
total moment = 0.00 μB per formula unit

Cell and atoms, written as POSCAR:
```
CoTcP2
1.0
4.011 -1.505 0.000
4.011 1.505 0.000
-0.980 0.000 4.076
Co Tc P
1 1 2
direct
0.000 0.000 0.000
0.227 0.227 0.581
0.493 0.493 0.427
0.729 0.729 0.078
```

iii:
Below is a geometry-optimized CoTcP2 structure, with properties calculated at the PBE level.

Computed properties:
calculated volume = 13.24 Å³ per atom
total moment = 0.74 μB per formula unit

Cell and atoms, written as POSCAR:
```
CoTcP2
1.0
1.468 0.847 7.100
-1.468 0.847 7.100
0.000 -1.695 7.100
Co Tc P
1 1 2
direct
0.000 0.000 0.000
0.231 0.231 0.231
0.488 0.488 0.488
0.732 0.732 0.732
```

Pick ii: it beats the second-best structure by 28.4 kJ/mol of atoms.

i:
Below is a geometry-optimized CoTeP structure, with properties calculated at the PBE level.

Computed properties:
calculated volume = 17.24 Å³ per atom
total moment = 0.00 μB per formula unit

Cell and atoms, written as POSCAR:
```
CoTeP
1.0
6.088 0.000 0.000
0.000 5.843 0.000
-1.619 0.000 5.816
Co Te P
4 4 4
direct
0.222 0.024 0.241
0.222 0.476 0.741
0.778 0.524 0.259
0.778 0.976 0.759
0.345 0.627 0.154
0.345 0.873 0.654
0.655 0.127 0.346
0.655 0.373 0.846
0.127 0.135 0.869
0.127 0.365 0.369
0.873 0.635 0.631
0.873 0.865 0.131
```

ii:
Below is a geometry-optimized CoTeP structure, with properties calculated at the PBE level.

Computed properties:
calculated volume = 19.71 Å³ per atom
total moment = 0.00 μB per formula unit

Cell and atoms, written as POSCAR:
```
CoTeP
1.0
3.653 0.000 0.000
-1.827 3.164 0.000
0.000 0.000 5.115
Co Te P
1 1 1
direct
0.000 0.000 0.000
0.333 0.667 0.707
0.667 0.333 0.128
```

Pick i: it beats the second-best structure by 18.9 kJ/mol of atoms.

i:
Below is a geometry-optimized CoTeP structure, with properties calculated at the PBE level.

Computed properties:
calculated volume = 17.68 Å³ per atom
total moment = 0.00 μB per formula unit

Cell and atoms, written as POSCAR:
```
CoTeP
1.0
0.000 2.982 2.982
2.982 0.000 2.982
2.982 2.982 0.000
Co Te P
1 1 1
direct
0.000 0.000 0.000
0.250 0.250 0.250
0.750 0.750 0.750
```

ii:
Below is a geometry-optimized CoTeP structure, with properties calculated at the PBE level.

Computed properties:
calculated volume = 19.49 Å³ per atom
total moment = 0.00 μB per formula unit

Cell and atoms, written as POSCAR:
```
CoTeP
1.0
0.000 3.081 3.081
3.081 0.000 3.081
3.081 3.081 0.000
Co Te P
1 1 1
direct
0.000 0.000 0.000
0.250 0.250 0.250
0.500 0.500 0.500
```

iii:
Below is a geometry-optimized CoTeP structure, with properties calculated at the PBE level.

Computed properties:
calculated volume = 17.61 Å³ per atom
total moment = 0.00 μB per formula unit

Cell and atoms, written as POSCAR:
```
CoTeP
1.0
0.000 2.109 5.953
2.104 0.000 5.953
2.104 2.109 0.000
Co Te P
1 1 1
direct
0.000 0.000 0.000
0.333 0.333 0.667
0.590 0.590 0.410
```

Pick i: it beats the second-best structure by 9.2 kJ/mol of atoms.

i:
Below is a geometry-optimized CoTe3P structure, with properties calculated at the PBE level.

Computed properties:
calculated volume = 27.91 Å³ per atom
total moment = 2.70 μB per formula unit

Cell and atoms, written as POSCAR:
```
CoTe3P
1.0
5.187 0.000 0.000
0.000 5.187 0.000
0.000 0.000 5.187
Co Te P
1 3 1
direct
0.000 0.000 0.000
0.000 0.500 0.500
0.500 0.000 0.500
0.500 0.500 0.000
0.500 0.500 0.500
```

ii:
Below is a geometry-optimized CoTe3P structure, with properties calculated at the PBE level.

Computed properties:
calculated volume = 24.32 Å³ per atom
total moment = 0.00 μB per formula unit

Cell and atoms, written as POSCAR:
```
CoTe3P
1.0
4.954 0.000 0.000
0.000 4.954 0.000
0.000 0.000 4.954
Co Te P
1 3 1
direct
0.000 0.000 0.000
0.000 0.000 0.500
0.000 0.500 0.000
0.500 0.000 0.000
0.500 0.500 0.500
```

Pick ii: it beats the second-best structure by 29.4 kJ/mol of atoms.

i:
Below is a geometry-optimized ThCo4P2 structure, with properties calculated at the PBE level.

Computed properties:
calculated volume = 13.44 Å³ per atom
total moment = 2.42 μB per formula unit

Cell and atoms, written as POSCAR:
```
ThCo4P2
1.0
7.222 0.000 0.000
0.000 7.222 0.000
0.000 0.000 3.607
Th Co P
2 8 4
direct
0.000 0.000 0.000
0.500 0.500 0.500
0.083 0.344 0.500
0.156 0.583 0.000
0.344 0.083 0.500
0.417 0.844 0.000
0.583 0.156 0.000
0.656 0.917 0.500
0.844 0.417 0.000
0.917 0.656 0.500
0.223 0.777 0.500
0.277 0.277 0.000
0.723 0.723 0.000
0.777 0.223 0.500
```

ii:
Below is a geometry-optimized ThCo4P2 structure, with properties calculated at the PBE level.

Computed properties:
calculated volume = 13.52 Å³ per atom
total moment = 0.00 μB per formula unit

Cell and atoms, written as POSCAR:
```
ThCo4P2
1.0
15.970 0.000 0.000
0.000 3.685 0.000
0.000 0.000 6.430
Th Co P
4 16 8
direct
0.107 0.250 0.048
0.393 0.750 0.548
0.607 0.250 0.452
0.893 0.750 0.952
0.032 0.750 0.345
0.112 0.250 0.527
0.196 0.750 0.340
0.196 0.750 0.724
0.304 0.250 0.224
0.304 0.250 0.840
0.388 0.750 0.027
0.468 0.250 0.845
0.532 0.750 0.155
0.612 0.250 0.973
0.696 0.750 0.160
0.696 0.750 0.776
0.804 0.250 0.276
0.804 0.250 0.660
0.888 0.750 0.473
0.968 0.250 0.655
0.054 0.750 0.695
0.245 0.250 0.533
0.255 0.750 0.033
0.446 0.250 0.195
0.554 0.750 0.805
0.745 0.250 0.967
0.755 0.750 0.467
0.946 0.250 0.305
```

Pick ii: it beats the second-best structure by 6.5 kJ/mol of atoms.

i:
Below is a geometry-optimized TiCo3P structure, with properties calculated at the PBE level.

Computed properties:
calculated volume = 13.70 Å³ per atom
total moment = 2.26 μB per formula unit

Cell and atoms, written as POSCAR:
```
TiCo3P
1.0
4.091 0.000 0.000
0.000 4.091 0.000
0.000 0.000 4.091
Ti Co P
1 3 1
direct
0.000 0.000 0.000
0.000 0.500 0.500
0.500 0.000 0.500
0.500 0.500 0.000
0.500 0.500 0.500
```

ii:
Below is a geometry-optimized TiCo3P structure, with properties calculated at the PBE level.

Computed properties:
calculated volume = 15.48 Å³ per atom
total moment = 1.77 μB per formula unit

Cell and atoms, written as POSCAR:
```
TiCo3P
1.0
4.262 0.000 0.000
0.000 4.262 0.000
0.000 0.000 4.262
Ti Co P
1 3 1
direct
0.000 0.000 0.000
0.000 0.000 0.500
0.000 0.500 0.000
0.500 0.000 0.000
0.500 0.500 0.500
```

Pick i: it beats the second-best structure by 116.7 kJ/mol of atoms.

i:
Below is a geometry-optimized TiCoP3 structure, with properties calculated at the PBE level.

Computed properties:
calculated volume = 19.91 Å³ per atom
total moment = 2.05 μB per formula unit

Cell and atoms, written as POSCAR:
```
TiCoP3
1.0
4.635 0.000 0.000
0.000 4.635 0.000
0.000 0.000 4.635
Ti Co P
1 1 3
direct
0.000 0.000 0.000
0.500 0.500 0.500
0.000 0.000 0.500
0.000 0.500 0.000
0.500 0.000 0.000
```

ii:
Below is a geometry-optimized TiCoP3 structure, with properties calculated at the PBE level.

Computed properties:
calculated volume = 16.30 Å³ per atom
total moment = 0.00 μB per formula unit

Cell and atoms, written as POSCAR:
```
TiCoP3
1.0
4.336 0.000 0.000
0.000 4.336 0.000
0.000 0.000 4.336
Ti Co P
1 1 3
direct
0.000 0.000 0.000
0.500 0.500 0.500
0.000 0.500 0.500
0.500 0.000 0.500
0.500 0.500 0.000
```

Pick ii: it beats the second-best structure by 33.5 kJ/mol of atoms.